A.
A relaxed MoI crystal, computed with PBE-GGA.

Cell lengths 11.6818, 11.6818, 3.5700 Å; angles 90.00, 90.00, 120.00 degrees
Space group P6_3/m (No. 176)
Inequivalent atoms, fractional coordinates:
Mo 0.0159 0.5757 0.2500
I 0.2091 0.7792 0.7500

Calculated values
M_tot = 0.00 μB/f.u.


B.
A relaxed MoI crystal, computed with PBE-GGA.

Cell lengths 11.970, 11.970, 3.535 Å; angles 90.00, 90.00, 90.00 degrees
Space group I4/m (No. 87)
Inequivalent atoms, fractional coordinates:
Mo 0.194 0.290 0.000
I 0.006 0.231 0.500

Calculated values
M_tot = 0.00 μB/f.u.


Most stable of them? B.


A.
A relaxed BeHgS2 crystal, computed with PBE-GGA.

Cell lengths 7.308, 3.585, 13.899 Å; angles 90.00, 110.68, 90.00 degrees
Space group P2_1/c (No. 14)
Inequivalent atoms, fractional coordinates:
Be 0.227 0.249 0.325
Hg 0.422 0.749 0.123
S 0.149 0.249 0.168
S 0.163 0.749 0.391

Calculated values
M_tot = 0.00 μB/f.u.


B.
A relaxed BeHgS2 crystal, computed with PBE-GGA.

Cell lengths 3.834, 20.279, 4.182 Å; angles 90.00, 90.00, 90.00 degrees
Space group Cmcm (No. 63)
Inequivalent atoms, fractional coordinates:
Be 0.000 0.062 0.250
Hg 0.000 0.326 0.250
S 0.000 0.042 0.750
S 0.000 0.167 0.250

Calculated values
M_tot = 0.00 μB/f.u.


Most stable of them? A.


A.
A relaxed CuNi2Os crystal, computed with PBE-GGA.

Cell lengths 8.526, 2.553, 4.496 Å; angles 90.00, 99.11, 90.00 degrees
Space group Cm (No. 8)
Inequivalent atoms, fractional coordinates:
Cu 0.000 0.000 0.000
Ni 0.000 0.500 0.504
Ni 0.248 0.000 0.775
Os 0.254 0.500 0.283

Calculated values
M_tot = 0.00 μB/f.u.


B.
A relaxed CuNi2Os crystal, computed with PBE-GGA.

Cell lengths 4.346, 4.346, 2.603 Å; angles 90.00, 90.00, 90.00 degrees
Space group P4/mmm (No. 123)
Inequivalent atoms, fractional coordinates:
Cu 0.000 0.000 0.000
Ni 0.000 0.500 0.500
Os 0.500 0.500 0.000

Calculated values
M_tot = 1.31 μB/f.u.


Most stable of them? A.


A.
A relaxed ReRh crystal, computed with PBE-GGA.

Cell lengths 10.022, 2.731, 6.535 Å; angles 90.00, 104.04, 90.00 degrees
Space group Cm (No. 8)
Inequivalent atoms, fractional coordinates:
Re 0.000 0.000 0.000
Re 0.059 0.000 0.616
Re 0.171 0.500 0.333
Rh 0.220 0.500 0.944
Rh 0.339 0.000 0.667
Rh 0.394 0.000 0.281

Calculated values
M_tot = 0.00 μB/f.u.


B.
A relaxed ReRh crystal, computed with PBE-GGA.

Cell lengths 8.9776, 8.9776, 2.7142 Å; angles 90.00, 90.00, 120.00 degrees
Space group P6_3/m (No. 176)
Inequivalent atoms, fractional coordinates:
Re 0.1437 0.6192 0.2500
Rh 0.0495 0.2860 0.2500

Calculated values
M_tot = 0.00 μB/f.u.


Most stable of them? A.